# 1
## NaYLu (PBE)

Data for NaYLu after structural relaxation.

Cell and atoms, written as POSCAR:
```
NaYLu
1.0
0.000 3.728 3.728
3.728 0.000 3.728
3.728 3.728 0.000
Na Y Lu
1 1 1
direct
0.000 0.000 0.000
0.250 0.250 0.250
0.750 0.750 0.750
```

Values from the calculation:
Crystal system = cubic
Relative energy among the computed polymorphs = 0.000 eV per atom

# 2
## NaLuZr (PBE)

Data for NaLuZr after structural relaxation.

Cell and atoms, written as POSCAR:
```
NaLuZr
1.0
0.000 3.636 3.636
3.636 0.000 3.636
3.636 3.636 0.000
Na Lu Zr
1 1 1
direct
0.000 0.000 0.000
0.250 0.250 0.250
0.500 0.500 0.500
```

Values from the calculation:
Crystal system = cubic
E_tot = -3.457 eV per atom